No. 1
The following is a DFT calculation (GGA-PBE) of a relaxed structure of MnAg2PbI6.

Properties
calculated total energy = -3.153 eV/atom
mass density = 5.58 g/cm3
raw formation energy = -365 meV/atom
spin magnetization = 4.9 Bohr magnetons per cell

Geometry as POSCAR:
```
MnAg2PbI6
1.0
-5.513 4.287 -3.188
-3.507 -2.394 -6.397
-7.967 -2.778 0.801
Ag I Mn Pb
2 6 1 1
direct
0.997 0.997 0.009 Ag
0.583 0.583 0.251 Ag
0.099 0.389 0.795 I
0.226 0.948 0.261 I
0.718 0.098 0.795 I
0.564 0.226 0.262 I
0.389 0.718 0.795 I
0.948 0.565 0.262 I
0.329 0.329 0.015 Mn
0.810 0.809 0.571 Pb
```

No. 2
The following is a DFT calculation (GGA-PBE) of a relaxed structure of RbMnAgI4.

Properties
calculated total energy = -3.409 eV/atom
mass density = 4.35 g/cm3
raw formation energy = -667 meV/atom
spin magnetization = 10.0 Bohr magnetons per cell

Geometry as POSCAR:
```
RbMnAgI4
1.0
6.996 0.000 0.113
0.000 8.392 0.000
-2.647 0.000 9.788
Ag I Rb Mn
2 8 2 2
direct
0.869 0.750 0.485 Ag
0.131 0.250 0.515 Ag
0.945 0.998 0.291 I
0.326 0.750 0.085 I
0.674 0.250 0.915 I
0.492 0.750 0.544 I
0.055 0.002 0.709 I
0.055 0.498 0.709 I
0.945 0.502 0.291 I
0.508 0.250 0.456 I
0.238 0.250 0.071 Rb
0.762 0.750 0.929 Rb
0.796 0.250 0.684 Mn
0.204 0.750 0.316 Mn
```

No. 3
The following is a DFT calculation (GGA-PBE) of a relaxed structure of RbMnAgI5.

Properties
calculated total energy = -3.164 eV/atom
mass density = 4.24 g/cm3
raw formation energy = -572 meV/atom
spin magnetization = 8.8 Bohr magnetons per cell

Geometry as POSCAR:
```
RbMnAgI5
1.0
8.571 0.395 0.314
-2.124 8.313 0.314
-2.327 -3.143 9.375
Mn Ag Rb I
2 2 2 10
direct
0.699 0.301 0.250 Mn
0.301 0.699 0.750 Mn
0.000 0.000 0.000 Ag
0.000 0.000 0.500 Ag
0.634 0.366 0.750 Rb
0.366 0.634 0.250 Rb
0.914 0.086 0.750 I
0.313 0.936 0.615 I
0.086 0.914 0.250 I
0.582 0.764 0.942 I
0.064 0.687 0.885 I
0.936 0.313 0.115 I
0.687 0.064 0.385 I
0.236 0.418 0.558 I
0.764 0.582 0.442 I
0.418 0.236 0.058 I
```